The following is a PBE-GGA calculation of LiZnRe after structural relaxation, from Alexandria.

Values from the calculation:
D(E_F) = 3.1 states/eV/cell
E = -5.02 eV/atom

a = 2.624 Å, b = 4.900 Å, c = 6.916 Å
α = 81.48°, β = 85.69°, γ = 85.31°
Element x y z (fractional)
Li 0.203 0.268 0.489
Li 0.797 0.732 0.511
Zn 0.001 0.923 0.824
Zn 0.999 0.077 0.176
Re 0.447 0.410 0.846
Re 0.553 0.590 0.154